# 1
The following is a DFT calculation (GGA-PBE) of crystalline MgTeS2N at its relaxed geometry.

a b c (Å): 4.946 4.946 3.985
angles (deg): 90.00 90.00 90.00
Last column: magnetic moment on the atom in μB.
Sites, in units of the cell vectors:
S (0.000, 0.500, 0.000)  0.08
S (0.500, 0.000, 0.000)  0.08
Te (0.500, 0.500, 0.500)  0.00
Mg (0.000, 0.000, 0.000)  -0.01
N (0.000, 0.000, 0.500)  1.18

Results
space group = P4/mmm (123)
energy above the lowest structure with this stoichiometry = 205 meV/atom
formation energy (no corrections) = 645 meV per atom
density of states at the Fermi level = 3.26 states/eV per cell

***

# 2
The following is a DFT calculation (GGA-PBE) of crystalline MgTeS2N at its relaxed geometry.

a b c (Å): 5.121 5.121 3.917
angles (deg): 90.00 90.00 90.00
Sites, in units of the cell vectors:
S (0.000, 0.500, 0.000)
S (0.500, 0.000, 0.000)
Te (0.000, 0.000, 0.000)
Mg (0.500, 0.500, 0.500)
N (0.000, 0.000, 0.500)

Results
space group = P4/mmm (123)
energy above the lowest structure with this stoichiometry = 91 meV/atom
formation energy (no corrections) = 530 meV per atom
density of states at the Fermi level = 0.86 states/eV per cell

***

# 3
The following is a DFT calculation (GGA-PBE) of crystalline MgTiSN2 at its relaxed geometry.

a b c (Å): 3.823 3.823 5.247
angles (deg): 90.00 90.00 90.00
Last column: magnetic moment on the atom in μB.
Sites, in units of the cell vectors:
S (0.000, 0.000, 0.500)  0.00
N (0.000, 0.500, 0.000)  0.05
N (0.500, 0.000, 0.000)  0.05
Mg (0.500, 0.500, 0.500)  0.00
Ti (0.000, 0.000, 0.000)  -0.01

Results
space group = P4/mmm (123)
energy above the lowest structure with this stoichiometry = 0 meV/atom
formation energy (no corrections) = -230 meV per atom
density of states at the Fermi level = 2.12 states/eV per cell

***

# 4
The following is a DFT calculation (GGA-PBE) of crystalline MgTiS2N at its relaxed geometry.

a b c (Å): 4.787 4.787 3.858
angles (deg): 90.00 90.00 90.00
Last column: magnetic moment on the atom in μB.
Sites, in units of the cell vectors:
S (0.000, 0.500, 0.000)  0.23
S (0.500, 0.000, 0.000)  0.23
N (0.000, 0.000, 0.500)  1.18
Mg (0.000, 0.000, 0.000)  0.00
Ti (0.500, 0.500, 0.500)  -1.19

Results
space group = P4/mmm (123)
energy above the lowest structure with this stoichiometry = 867 meV/atom
formation energy (no corrections) = 380 meV per atom
density of states at the Fermi level = 3.40 states/eV per cell

***

no.,volume (Å³/atom),magnetic moment (μB/atom)
1,19.5,0.41
2,20.5,0.00
3,15.3,0.03
4,17.7,0.20